{
  "formula": "LiAcEuDy",
  "functional": "PBE",
  "state": "optimized geometry",
  "cell": [[5.8501, 0.0000, 0.0000], [2.9250, 5.0663, 0.0000], [2.9250, 1.6888, 4.7765]],
  "species": ["Eu", "Li", "Dy", "Ac"],
  "frac_coords": [[0.2500, 0.2500, 0.2500], [0.0000, 0.0000, 0.0000], [0.7500, 0.7500, 0.7500], [0.5000, 0.5000, 0.5000]],
  "delta_e_f_ev_per_atom": 0.247
}

{
  "formula": "Cs2TiI5Cl",
  "functional": "PBE",
  "state": "optimized geometry",
  "cell": [[8.2439, -0.0744, -0.1080], [-3.9799, 7.2200, 0.1080], [-3.9799, -2.4701, 6.7852]],
  "species": ["Cs", "Cs", "Cl", "I", "I", "I", "I", "I", "Ti"],
  "frac_coords": [[0.5000, 0.2479, 0.7479], [0.5000, 0.7479, 0.2479], [0.0000, 0.7916, 0.7916], [0.5258, 0.7599, 0.7599], [0.4742, 0.2341, 0.2341], [0.0000, 0.2341, 0.7599], [0.0000, 0.2333, 0.2333], [0.0000, 0.7599, 0.2341], [0.0000, 0.9913, 0.9913]],
  "formation_energy_uncorrected_mev_per_atom": -1236
}

{
  "formula": "KBaNa2Bi2",
  "functional": "PBE",
  "state": "optimized geometry",
  "cell": [[-0.9517, -5.2874, -1.2495], [2.0904, 1.3365, 4.9262], [-7.7334, 0.6587, 3.1028]],
  "species": ["K", "Ba", "Na", "Na", "Bi", "Bi"],
  "frac_coords": [[0.0000, 0.0000, 0.5000], [0.0000, 0.0000, 0.0000], [0.6667, 0.3333, 0.2952], [0.3333, 0.6667, 0.7048], [0.3333, 0.6667, 0.2332], [0.6667, 0.3333, 0.7668]],
  "delta_e_f_ev_per_atom": -0.507
}